Record 1
Entry from Alexandria: a relaxed structure of K3SnP2O8 (PBE).

Computed properties:
The value obtained for the energy relative to the elements, uncorrected is -2.0505 eV/atom.

Cell: 5.6732 5.6732 7.8091 Å, 90.00 90.00 120.00°
Atoms (fractional coordinates):
1 O 0.8176 0.1824 0.6758
2 O 0.8176 0.6351 0.6758
3 O 0.6351 0.8176 0.3242
4 O 0.1824 0.3649 0.3242
5 O 0.6667 0.3333 0.9389
6 O 0.3649 0.1824 0.6758
7 O 0.3333 0.6667 0.0611
8 O 0.1824 0.8176 0.3242
9 K 0.6667 0.3333 0.2704
10 K 0.0000 0.0000 0.0000
11 K 0.3333 0.6667 0.7296
12 P 0.3333 0.6667 0.2553
13 P 0.6667 0.3333 0.7447
14 Sn 0.0000 0.0000 0.5000

Record 2
Entry from Alexandria: a relaxed structure of CeMg2Tc (PBE).

Computed properties:
Its total DFT energy (no corrections) is -4.90 eV/atom.

Cell: 3.7872 5.5012 9.1740 Å, 90.00 90.00 110.13°
Atoms (fractional coordinates):
1 Mg 0.3553 0.7107 0.9425
2 Mg 0.6447 0.2893 0.4425
3 Mg 0.6447 0.2893 0.0575
4 Mg 0.3553 0.7107 0.5575
5 Ce 0.0828 0.1657 0.7500
6 Ce 0.9172 0.8343 0.2500
7 Tc 0.7328 0.4657 0.7500
8 Tc 0.2672 0.5343 0.2500

Record 3
Entry from Alexandria: a relaxed structure of KRb2NaBr4 (PBE).

Computed properties:
The value obtained for the energy relative to the elements, uncorrected is -1.6784 eV/atom.

Cell: 4.7233 8.2246 8.1833 Å, 70.74 90.00 90.00°
Atoms (fractional coordinates):
1 Rb 0.5000 0.0000 0.5000
2 Rb 0.0000 0.0000 0.0000
3 Br 0.0000 0.2712 0.2553
4 Br 0.0000 0.7288 0.7447
5 Br 0.5000 0.7229 0.2697
6 Br 0.5000 0.2771 0.7303
7 K 0.5000 0.5000 0.0000
8 Na 0.0000 0.5000 0.5000

Record 4
Entry from Alexandria: a relaxed structure of Tb4Ho9Er11 (PBE).

Computed properties:
Its total DFT energy (no corrections) is -4.53 eV/atom.

Cell: 3.6320 14.9098 14.9098 Å, 112.86 90.00 90.00°
Atoms (fractional coordinates):
1 Er 0.0000 0.7092 0.7092
2 Er 0.0000 0.6337 0.3663
3 Er 0.0000 0.9553 0.5930
4 Er 0.0000 0.5930 0.9553
5 Er 0.0000 0.8405 0.1595
6 Er 0.0000 0.3663 0.6337
7 Er 0.0000 0.1595 0.8405
8 Er 0.0000 0.2908 0.2908
9 Er 0.0000 0.0447 0.4070
10 Er 0.0000 0.4070 0.0447
11 Er 0.0000 0.0000 0.0000
12 Tb 0.5000 0.2445 0.4461
13 Tb 0.5000 0.5539 0.7555
14 Tb 0.5000 0.7555 0.5539
15 Tb 0.5000 0.4461 0.2445
16 Ho 0.5000 0.6325 0.1634
17 Ho 0.5000 0.7866 0.9320
18 Ho 0.5000 0.1634 0.6325
19 Ho 0.5000 0.9320 0.7866
20 Ho 0.5000 0.2134 0.0680
21 Ho 0.5000 0.8366 0.3675
22 Ho 0.5000 0.0680 0.2134
23 Ho 0.5000 0.5000 0.5000
24 Ho 0.5000 0.3675 0.8366

Record 5
Entry from Alexandria: a relaxed structure of PrSmGa2Pt2 (PBE).

Computed properties:
Its total DFT energy (no corrections) is -5.62 eV/atom.

Cell: 4.4841 4.4841 7.4588 Å, 90.00 90.00 120.00°
Atoms (fractional coordinates):
1 Pt 0.6667 0.3333 0.7394
2 Pt 0.3333 0.6667 0.2606
3 Pr 0.0000 0.0000 0.0000
4 Ga 0.3333 0.6667 0.7399
5 Ga 0.6667 0.3333 0.2601
6 Sm 0.0000 0.0000 0.5000

Record 6
Entry from Alexandria: a relaxed structure of ReHg2SF (PBE).

Computed properties:
The value obtained for the energy relative to the elements, uncorrected is 1.0018 eV/atom.

Cell: 5.3229 3.7096 5.3229 Å, 90.00 90.00 90.00°
Site moments in Bohr magnetons follow the coordinates.
Atoms (fractional coordinates):
1 F 0.0000 0.5000 0.0000  0.00
2 Re 0.5000 0.5000 0.5000  2.71
3 Hg 0.5000 0.0000 0.0000  -0.03
4 Hg 0.0000 0.0000 0.5000  -0.02
5 S 0.0000 0.0000 0.0000  0.00

Record 7
Entry from Alexandria: a relaxed structure of ErBiBr (PBE).

Computed properties:
The value obtained for the energy relative to the elements, uncorrected is -0.7775 eV/atom.

Cell: 4.6204 15.0105 7.7225 Å, 106.23 107.41 90.00°
Atoms (fractional coordinates):
1 Br 0.1649 0.3860 0.3298
2 Br 0.8351 0.6140 0.6702
3 Br 0.5158 0.7714 0.0317
4 Br 0.4842 0.2286 0.9683
5 Bi 0.6509 0.0679 0.3019
6 Bi 0.3489 0.3441 0.6977
7 Bi 0.3491 0.9321 0.6981
8 Bi 0.6511 0.6559 0.3023
9 Er 0.6921 0.2755 0.3842
10 Er 0.3079 0.7245 0.6158
11 Er 0.7048 0.8849 0.4096
12 Er 0.2952 0.1151 0.5904

Record 8
Entry from Alexandria: a relaxed structure of LiMg3Cd3Rh2 (PBE).

Computed properties:
Its total DFT energy (no corrections) is -2.92 eV/atom.

Cell: 3.0792 7.7851 7.7851 Å, 120.00 90.00 90.00°
Atoms (fractional coordinates):
1 Mg 0.0000 0.3942 0.0000
2 Mg 0.0000 0.0000 0.3942
3 Mg 0.0000 0.6058 0.6058
4 Cd 0.5000 0.0000 0.7149
5 Cd 0.5000 0.2851 0.2851
6 Cd 0.5000 0.7149 0.0000
7 Rh 0.5000 0.3333 0.6667
8 Rh 0.5000 0.6667 0.3333
9 Li 0.0000 0.0000 0.0000

Record 9
Entry from Alexandria: a relaxed structure of TbDy2OsN4 (PBE).

Computed properties:
The value obtained for the energy relative to the elements, uncorrected is -0.9654 eV/atom.

Cell: 3.3900 6.0476 11.6737 Å, 90.00 90.00 106.28°
Atoms (fractional coordinates):
1 N 0.0000 0.0000 0.5000
2 N 0.4490 0.8981 0.7500
3 N 0.7314 0.4628 0.6314
4 N 0.2686 0.5372 0.3686
5 N 0.7314 0.4628 0.8686
6 N 0.2686 0.5372 0.1314
7 N 0.5510 0.1019 0.2500
8 N 0.0000 0.0000 0.0000
9 Os 0.8636 0.7271 0.7500
10 Os 0.1364 0.2729 0.2500
11 Dy 0.3685 0.7371 0.9589
12 Dy 0.6315 0.2629 0.0411
13 Dy 0.3685 0.7371 0.5411
14 Dy 0.6315 0.2629 0.4589
15 Tb 0.1283 0.2566 0.7500
16 Tb 0.8717 0.7434 0.2500

Record 10
Entry from Alexandria: a relaxed structure of Li2SmHo2Pb2 (PBE).

Computed properties:
Its total DFT energy (no corrections) is -3.91 eV/atom.

Cell: 4.8558 4.8558 9.3602 Å, 74.97 74.97 60.00°
Atoms (fractional coordinates):
1 Ho 0.1301 0.1301 0.6098
2 Ho 0.8699 0.8699 0.3902
3 Li 0.5905 0.5905 0.2285
4 Li 0.4095 0.4095 0.7715
5 Sm 0.0000 0.0000 0.0000
6 Pb 0.7378 0.7378 0.7865
7 Pb 0.2622 0.2622 0.2135

Record 11
Entry from Alexandria: a relaxed structure of ScRe2 (PBE).

Computed properties:
Its total DFT energy (no corrections) is -10.36 eV/atom.

Cell: 5.3697 4.5301 8.2997 Å, 90.00 90.00 90.00°
Atoms (fractional coordinates):
1 Re 0.6207 0.2500 0.8947
2 Re 0.3793 0.7500 0.1053
3 Re 0.4132 0.7500 0.8040
4 Re 0.0868 0.2500 0.3040
5 Re 0.8793 0.7500 0.3947
6 Re 0.5868 0.2500 0.1960
7 Re 0.1207 0.2500 0.6053
8 Re 0.9132 0.7500 0.6960
9 Sc 0.1286 0.2500 0.9420
10 Sc 0.8714 0.7500 0.0580
11 Sc 0.6286 0.2500 0.5580
12 Sc 0.3714 0.7500 0.4420

Record 12
Entry from Alexandria: a relaxed structure of SrBi3Br (PBE).

Computed properties:
The value obtained for the offset from the most stable computed form is 0.000 eV per atom. The value obtained for the energy relative to the elements, uncorrected is 0.1356 eV/atom.

Cell: 5.7655 5.7655 5.7655 Å, 90.00 90.00 90.00°
Atoms (fractional coordinates):
1 Bi 0.5000 0.0000 0.0000
2 Bi 0.0000 0.0000 0.5000
3 Bi 0.0000 0.5000 0.0000
4 Br 0.0000 0.0000 0.0000
5 Sr 0.5000 0.5000 0.5000

Record 13
Entry from Alexandria: a relaxed structure of ReSn3Sb (PBE).

Computed properties:
The value obtained for the offset from the most stable computed form is 0.000 eV per atom. The value obtained for the energy relative to the elements, uncorrected is 0.4648 eV/atom.

Cell: 5.2386 5.2386 5.2386 Å, 90.00 90.00 90.00°
Site moments in Bohr magnetons follow the coordinates.
Atoms (fractional coordinates):
1 Sb 0.5000 0.5000 0.5000  0.38
2 Sn 0.5000 0.0000 0.0000  -0.02
3 Sn 0.0000 0.0000 0.5000  -0.01
4 Sn 0.0000 0.5000 0.0000  0.01
5 Re 0.0000 0.0000 0.0000  0.67

Record 14
Entry from Alexandria: a relaxed structure of CdIn4Rh (PBE).

Computed properties:
Its total DFT energy (no corrections) is -2.79 eV/atom.

Cell: 5.8835 5.8835 5.8835 Å, 60.00 60.00 60.00°
Atoms (fractional coordinates):
1 Cd 0.0000 0.0000 0.0000
2 In 0.3755 0.3755 0.8734
3 In 0.8734 0.3755 0.3755
4 In 0.3755 0.8734 0.3755
5 In 0.3755 0.3755 0.3755
6 Rh 0.7500 0.7500 0.7500

Record 15
Entry from Alexandria: a relaxed structure of NdHo2Tm3Se6 (PBE).

Computed properties:
The value obtained for the energy relative to the elements, uncorrected is -1.7100 eV/atom.

Cell: 4.0394 8.1979 9.1078 Å, 103.67 102.81 90.00°
Atoms (fractional coordinates):
1 Se 0.3270 0.9163 0.6541
2 Se 0.0000 0.7364 0.0001
3 Se 0.3331 0.4144 0.6662
4 Se 0.6730 0.0837 0.3459
5 Se 0.6669 0.5856 0.3338
6 Se 0.0000 0.2636 0.9999
7 Ho 0.1643 0.3289 0.3286
8 Ho 0.8357 0.6711 0.6714
9 Nd 0.5000 0.0000 0.0000
10 Tm 0.8372 0.1662 0.6744
11 Tm 0.5000 0.5000 0.0000
12 Tm 0.1628 0.8338 0.3256

Record 16
Entry from Alexandria: a relaxed structure of Rb2Ga2Tc (PBE).

Computed properties:
The value obtained for the offset from the most stable computed form is 0.155 eV per atom.

Cell: 10.6771 10.6771 3.0372 Å, 90.00 90.00 90.00°
Site moments in Bohr magnetons follow the coordinates.
Atoms (fractional coordinates):
1 Ga 0.4153 0.0847 0.5000  0.01
2 Ga 0.5847 0.9153 0.5000  0.01
3 Ga 0.0847 0.5847 0.5000  0.01
4 Ga 0.9153 0.4153 0.5000  0.01
5 Rb 0.7056 0.2056 0.0000  0.00
6 Rb 0.2944 0.7944 0.0000  0.00
7 Rb 0.7944 0.7056 0.0000  0.00
8 Rb 0.2056 0.2944 0.0000  0.00
9 Tc 0.5000 0.5000 0.0000  3.17
10 Tc 0.0000 0.0000 0.0000  3.17

Record 17
Entry from Alexandria: a relaxed structure of ZrCuCl (PBE).

Computed properties:
The value obtained for the offset from the most stable computed form is 0.339 eV per atom. The value obtained for the energy relative to the elements, uncorrected is -0.1571 eV/atom.

Cell: 4.4844 4.4844 3.1526 Å, 90.00 90.00 120.00°
Atoms (fractional coordinates):
1 Zr 0.3333 0.6667 0.8328
2 Cl 0.0000 0.0000 0.8341
3 Cu 0.6667 0.3333 0.3331

Record 18
Entry from Alexandria: a relaxed structure of K2HgClO (PBE).

Computed properties:
The value obtained for the energy relative to the elements, uncorrected is -1.1629 eV/atom.

Cell: 5.5044 5.5044 4.5394 Å, 90.00 90.00 90.00°
Atoms (fractional coordinates):
1 O 0.0000 0.0000 0.0000
2 Cl 0.5000 0.5000 0.5000
3 Hg 0.0000 0.0000 0.5000
4 K 0.0000 0.5000 0.0000
5 K 0.5000 0.0000 0.0000

Record 19
Entry from Alexandria: a relaxed structure of YHoMgTc (PBE).

Computed properties:
Its total DFT energy (no corrections) is -5.76 eV/atom.

Cell: 5.0302 5.0302 5.0302 Å, 60.00 60.00 60.00°
Atoms (fractional coordinates):
1 Y 0.7500 0.7500 0.7500
2 Tc 0.0000 0.0000 0.0000
3 Mg 0.5000 0.5000 0.5000
4 Ho 0.2500 0.2500 0.2500

Record 20
Entry from Alexandria: a relaxed structure of AcY4Ho (PBE).

Computed properties:
The value obtained for the offset from the most stable computed form is 0.000 eV per atom.

Cell: 3.4990 5.9379 10.1628 Å, 90.00 90.00 90.00°
Atoms (fractional coordinates):
1 Ac 0.9973 0.0013 0.5019
2 Y 0.9973 0.5013 0.3022
3 Y 0.9973 0.5013 0.7015
4 Y 0.4973 0.0013 0.1798
5 Y 0.4973 0.0013 0.8239
6 Ho 0.4973 0.5013 0.0019

Record 21
Entry from Alexandria: a relaxed structure of ZnSbMo2Br (PBE).

Computed properties:
The value obtained for the energy relative to the elements, uncorrected is 1.5997 eV/atom.

Cell: 5.2944 5.2944 5.7312 Å, 90.00 90.00 90.00°
Site moments in Bohr magnetons follow the coordinates.
Atoms (fractional coordinates):
1 Mo 0.0000 0.5000 0.0000  2.87
2 Mo 0.5000 0.0000 0.0000  2.87
3 Br 0.0000 0.0000 0.5000  0.11
4 Sb 0.0000 0.0000 0.0000  -0.13
5 Zn 0.5000 0.5000 0.5000  0.00

Record 22
Entry from Alexandria: a relaxed structure of Cs4Rb16Na3 (PBE).

Computed properties:
Its total DFT energy (no corrections) is -0.96 eV/atom.

Cell: 10.3058 10.3058 19.6479 Å, 90.00 90.00 90.00°
Atoms (fractional coordinates):
1 Rb 0.5000 0.5000 0.8036
2 Rb 0.2519 0.7481 0.6200
3 Rb 0.2519 0.7481 0.3800
4 Rb 0.5000 0.5000 0.1964
5 Rb 0.2696 0.7304 0.0000
6 Rb 0.7481 0.2519 0.3800
7 Rb 0.7481 0.7481 0.6200
8 Rb 0.0000 0.0000 0.2034
9 Rb 0.7304 0.7304 0.0000
10 Rb 0.7304 0.2696 0.0000
11 Rb 0.2519 0.2519 0.6200
12 Rb 0.7481 0.2519 0.6200
13 Rb 0.7481 0.7481 0.3800
14 Rb 0.2519 0.2519 0.3800
15 Rb 0.2696 0.2696 0.0000
16 Rb 0.0000 0.0000 0.7966
17 Cs 0.5000 0.0000 0.1882
18 Cs 0.0000 0.5000 0.8118
19 Cs 0.0000 0.5000 0.1882
20 Cs 0.5000 0.0000 0.8118
21 Na 0.5000 0.0000 0.5000
22 Na 0.0000 0.0000 0.0000
23 Na 0.0000 0.5000 0.5000

Record 23
Entry from Alexandria: a relaxed structure of Y2MgSn (PBE).

Computed properties:
Its total DFT energy (no corrections) is -4.71 eV/atom.

Cell: 8.3745 8.3745 6.8240 Å, 52.15 52.15 90.00°
Atoms (fractional coordinates):
1 Mg 0.2500 0.7500 0.5000
2 Mg 0.5000 0.5000 0.0000
3 Y 0.1141 0.6250 0.2500
4 Y 0.6359 0.1250 0.2500
5 Y 0.8750 0.8859 0.7500
6 Y 0.3750 0.3641 0.7500
7 Sn 0.0000 0.0000 0.0000
8 Sn 0.7500 0.2500 0.5000